DFT (PBE-GGA) results for CePmPSe after structural relaxation.

Cell and atoms, written as extended XYZ:
```
4
Lattice="4.141 0.000 0.000 2.070 3.586 0.000 2.070 1.195 6.879" Properties=species:S:1:pos:R:3 pbc="T T T"
Ce 6.211 3.586 0.118
Pm 4.141 2.391 3.320
P 2.070 1.195 1.713
Se 6.211 3.586 5.167
```

Calculated values
Fermi-level density of states ... 6.4 states/eV/f.u.
Energy relative to the elements, uncorrected ... -1.743 eV per atom